Entry 1:
First-principles (PBE-GGA) data for a geometry-optimized Zr3TaGe structure, as listed in Alexandria.

Computed properties:
Total magnetization ... 0.000 μB per formula unit
ΔH_f (0 K) ... 2.9 eV per formula unit
SG ... No. 221

abc: 4.968 4.968 4.968
angles: 90.00 90.00 90.00
Element x y z (fractional)
Zr (0.000, 0.000, 0.500)
Zr (0.000, 0.500, 0.000)
Zr (0.500, 0.000, 0.000)
Ta (0.500, 0.500, 0.500)
Ge (0.000, 0.000, 0.000)

Entry 2:
First-principles (PBE-GGA) data for a geometry-optimized ZrTaGe4 structure, as listed in Alexandria.

Computed properties:
Total magnetization ... 0.000 μB per formula unit
ΔH_f (0 K) ... -1.5 eV per formula unit
SG ... No. 12

abc: 4.990 4.990 7.010
angles: 109.95 109.95 40.48
Element x y z (fractional)
Zr (0.000, 0.000, 0.000)
Ta (0.000, 0.000, 0.500)
Ge (0.333, 0.333, 0.661)
Ge (0.341, 0.341, 0.185)
Ge (0.659, 0.659, 0.815)
Ge (0.667, 0.667, 0.339)

Entry 3:
First-principles (PBE-GGA) data for a geometry-optimized Zr2Ta2Ge structure, as listed in Alexandria.

Computed properties:
Total magnetization ... 0.000 μB per formula unit
ΔH_f (0 K) ... 0.3 eV per formula unit
SG ... No. 127

abc: 6.949 6.949 4.255
angles: 90.00 90.00 90.00
Element x y z (fractional)
Zr (0.171, 0.329, 0.000)
Zr (0.329, 0.829, 0.000)
Zr (0.671, 0.171, 0.000)
Zr (0.829, 0.671, 0.000)
Ta (0.136, 0.636, 0.500)
Ta (0.364, 0.136, 0.500)
Ta (0.636, 0.864, 0.500)
Ta (0.864, 0.364, 0.500)
Ge (0.000, 0.000, 0.500)
Ge (0.500, 0.500, 0.500)

Entry 4:
First-principles (PBE-GGA) data for a geometry-optimized Zr2Ta2Ge structure, as listed in Alexandria.

Computed properties:
Total magnetization ... 0.000 μB per formula unit
ΔH_f (0 K) ... 4.1 eV per formula unit
SG ... No. 139

abc: 7.609 7.609 7.609
angles: 150.39 150.39 42.38
Element x y z (fractional)
Zr (0.250, 0.750, 0.500)
Zr (0.750, 0.250, 0.500)
Ta (0.087, 0.087, 0.000)
Ta (0.913, 0.913, 0.000)
Ge (0.500, 0.500, 0.000)